Record 1
DFT (PBE-GGA) results for a relaxed CuAs2CBr crystal.

Geometry as POSCAR:
```
CuAs2CBr
1.0
-3.813 -3.237 1.295
2.260 -2.977 -0.787
1.676 -0.019 4.887
As C Cu Br
2 1 1 1
direct
0.000 0.000 0.500
0.500 0.000 0.000
0.000 0.500 0.000
0.500 0.500 0.500
0.000 0.000 0.000
```

Summary:
Raw formation energy: 2127.5 meV/atom
DFT total energy: -2.7309 eV per atom
Energy above the most stable polymorph in this dataset: 820.2 meV per atom
DOS at the Fermi energy: 4.36 states/eV/f.u.
Spin magnetization: 0.00 μB/cell

=====

Record 2
DFT (PBE-GGA) results for a relaxed CuAsCBr2 crystal.

Geometry as POSCAR:
```
CuAsCBr2
1.0
4.847 0.000 0.000
0.000 4.847 0.000
0.000 0.000 4.228
C Br Cu As
1 2 1 1
direct
0.000 0.000 0.000
0.000 0.500 0.000
0.500 0.000 0.000
0.500 0.500 0.500
0.000 0.000 0.500
```

Summary:
Raw formation energy: 1332.9 meV/atom
DFT total energy: -2.9301 eV per atom
Energy above the most stable polymorph in this dataset: 0.0 meV per atom
DOS at the Fermi energy: 3.50 states/eV/f.u.
Spin magnetization: 0.00 μB/cell